# 1
## BeRhSe2 (PBE)

Data for BeRhSe2 after structural relaxation.

Geometry as extended XYZ:
```
4
Lattice="2.696 -3.581 0.000 2.696 3.581 0.000 0.000 0.000 3.441" Properties=species:S:1:pos:R:3 pbc="T T T"
Be 0.000 0.000 0.000
Rh 2.696 0.000 0.000
Se 2.696 1.814 1.721
Se 2.696 -1.814 1.721
```

Output
E_tot: -17.7 eV/cell
E_form (uncorrected): 0.092 eV per atom

=====

# 2
## NaTbTlCd (PBE)

Data for NaTbTlCd after structural relaxation.

Geometry as extended XYZ:
```
4
Lattice="0.000 3.731 3.731 3.731 0.000 3.731 3.731 3.731 0.000" Properties=species:S:1:pos:R:3 pbc="T T T"
Na 0.000 0.000 0.000
Tb 3.731 3.731 3.731
Tl 1.866 1.866 1.866
Cd 5.597 5.597 5.597
```

Output
relative energy among the computed polymorphs: 0.655 kcal/mol of atoms
E_tot: -10.1 eV/cell
energy of formation: -0.207 eV/atom